# Ti2Cu2Ir (PBE-GGA, optimized geometry)
data_Ti2Cu2Ir
_cell_length_a 6.7340
_cell_length_b 6.7340
_cell_length_c 3.1214
_cell_angle_alpha 90.00
_cell_angle_beta 90.00
_cell_angle_gamma 90.00
_symmetry_space_group_name_H-M 'P 4/m b m'
_symmetry_Int_Tables_number 127
_symmetry_space_group_name_Hall '-P 4 2ab'
loop_
_atom_site_label
_atom_site_fract_x
_atom_site_fract_y
_atom_site_fract_z
Ti1 0.1799 0.3201 0.0000
Cu1 0.1231 0.6231 0.5000
Ir1 0.0000 0.0000 0.5000
# - Calculated formation energy: -261 meV/atom
# - Calculated total energy: -6.830 eV/atom